Cs3Ag2Br2F4 | PBE | relaxed

a b c (Å): 4.7567 4.7567 26.2429
angles (deg): 90.00 90.00 90.00
Space group I4/mmm (No. 139)
Unique sites:
Cs  0.0000  0.0000  0.0000 x2
Cs  0.0000  0.0000  0.1588 x4
Ag  0.0000  0.0000  0.4105 x4
Br  0.0000  0.0000  0.3058 x4
F  0.0000  0.5000  0.0769 x8

Summary:
Mass density   4.76 g/cm3
Crystal system   tetragonal
E_form (uncorrected)   -1.65 eV/atom

***

Cs2FeAgBr6 | PBE | relaxed

a b c (Å): 7.7317 7.7317 39.4184
angles (deg): 90.00 90.00 120.00
Space group R-3m (No. 166, hexagonal axes)
Unique sites:
Cs  0.0000  0.0000  0.1193 x6
Cs  0.0000  0.0000  0.2945 x6
Fe  0.0000  0.0000  0.4146 x6
Ag  0.0000  0.0000  0.0000 x3
Ag  0.0000  0.0000  0.5000 x3
Br  0.0161  0.5080  0.1183 x18
Br  0.0163  0.5082  0.2910 x18

Summary:
Mass density   4.44 g/cm3
Crystal system   trigonal
E_form (uncorrected)   -0.98 eV/atom

***

Cs3FeAg2Br6 | PBE | relaxed

a b c (Å): 8.1676 8.1676 9.0741
angles (deg): 90.00 90.00 120.00
Space group P-3m1 (No. 164)
Unique sites:
Cs  0.0000  0.0000  0.0000 x1
Cs  0.3333  0.6667  0.6462 x2
Fe  0.0000  0.0000  0.5000 x1
Ag  0.3333  0.6667  0.2443 x2
Br  0.1518  0.3037  0.3177 x6

Summary:
Mass density   3.64 g/cm3
Crystal system   trigonal
E_form (uncorrected)   -0.86 eV/atom

***

CsGa2AgBr8 | PBE | relaxed

a b c (Å): 6.9578 6.9578 10.2468
angles (deg): 90.00 90.00 120.00
Space group P-3 (No. 147)
Unique sites:
Cs  0.0000  0.0000  0.0000 x1
Ga  0.3333  0.6667  0.7421 x2
Ag  0.0000  0.0000  0.5000 x1
Br  0.0103  0.3382  0.6728 x6
Br  0.3333  0.6667  0.9732 x2

Summary:
Mass density   3.94 g/cm3
Crystal system   trigonal
E_form (uncorrected)   -0.95 eV/atom

***

Cs4AgGe3Br12 | PBE | relaxed

a b c (Å): 11.1266 11.1266 11.1266
angles (deg): 90.00 90.00 90.00
Space group Im-3m (No. 229)
Unique sites:
Cs  0.2500  0.2500  0.2500 x8
Ag  0.0000  0.0000  0.0000 x2
Ge  0.0000  0.0000  0.5000 x6
Br  0.0000  0.0000  0.2547 x12
Br  0.0000  0.2500  0.5000 x12

Summary:
Mass density   4.38 g/cm3
Crystal system   cubic
E_form (uncorrected)   -1.05 eV/atom

***

Cs4Ag3GeBr12 | PBE | relaxed

a b c (Å): 11.0516 11.0516 11.0516
angles (deg): 90.00 90.00 90.00
Space group Im-3m (No. 229)
Unique sites:
Cs  0.2500  0.2500  0.2500 x8
Ag  0.0000  0.0000  0.5000 x6
Ge  0.0000  0.0000  0.0000 x2
Br  0.0000  0.0000  0.2302 x12
Br  0.0000  0.2500  0.5000 x12

Summary:
Mass density   4.64 g/cm3
Crystal system   cubic
E_form (uncorrected)   -0.97 eV/atom

***

Cs3AgGe2Br9 | PBE | relaxed

a b c (Å): 7.8476 7.8476 9.6061
angles (deg): 90.00 90.00 120.00
Space group P-3m1 (No. 164)
Unique sites:
Cs  0.0000  0.0000  0.0000 x1
Cs  0.3333  0.6667  0.6671 x2
Ag  0.0000  0.0000  0.5000 x1
Ge  0.3333  0.6667  0.1739 x2
Br  0.0000  0.5000  0.0000 x3
Br  0.1702  0.3405  0.3302 x6

Summary:
Mass density   4.44 g/cm3
Crystal system   trigonal
E_form (uncorrected)   -1.05 eV/atom

***

Cs2AgHBr | PBE | relaxed

a b c (Å): 6.2754 6.2754 4.1644
angles (deg): 90.00 90.00 90.00
Space group P4/mmm (No. 123)
Unique sites:
Cs  0.0000  0.5000  0.0000 x2
Ag  0.0000  0.0000  0.5000 x1
H  0.0000  0.0000  0.0000 x1
Br  0.5000  0.5000  0.5000 x1

Summary:
Mass density   4.60 g/cm3
DFT total energy   -2.536 eV/atom
Crystal system   tetragonal

***

CsAgHBr3 | PBE | relaxed

a b c (Å): 13.0616 8.3457 8.7229
angles (deg): 90.00 112.10 90.00
Space group C2/m (No. 12)
Unique sites:
Cs  0.2017  0.0000  0.1689 x4
Ag  0.0000  0.2172  0.5000 x4
H  0.1041  0.5000  0.2706 x4
Br  0.0470  0.2491  0.8013 x8
Br  0.2240  0.5000  0.3225 x4

Summary:
Mass density   3.63 g/cm3
DFT total energy   -2.777 eV/atom
Crystal system   monoclinic

***

Cs4AgHBr2 | PBE | relaxed

a b c (Å): 8.9141 5.1217 8.9645
angles (deg): 90.00 109.10 90.00
Space group P2/m (No. 10)
Unique sites:
Cs  0.2376  0.0000  0.2319 x2
Cs  0.2469  0.5000  0.7675 x2
Ag  0.0000  0.0000  0.5000 x1
H  0.0000  0.5000  0.0000 x1
Br  0.5000  0.0000  0.0000 x1
Br  0.5000  0.5000  0.5000 x1

Summary:
Mass density   3.44 g/cm3
DFT total energy   -2.501 eV/atom
Crystal system   monoclinic

***

CsHfAgBr6 | PBE | relaxed

a b c (Å): 7.3448 7.3448 15.8341
angles (deg): 90.00 90.00 120.00
Space group P-31c (No. 163)
Unique sites:
Cs  0.0000  0.0000  0.0000 x2
Hf  0.3333  0.6667  0.2500 x2
Ag  0.3333  0.6667  0.7500 x2
Br  0.0295  0.3907  0.1529 x12

Summary:
Mass density   4.03 g/cm3
Crystal system   trigonal
E_form (uncorrected)   -1.27 eV/atom

***

CsHfAg2Br8 | PBE | relaxed

a b c (Å): 6.1454 7.1383 9.7297
angles (deg): 85.83 75.20 85.06
Space group P-1 (No. 2)
Unique sites:
Cs  0.0000  0.0000  0.0000 x1
Hf  0.5000  0.0000  0.5000 x1
Ag  0.1827  0.5689  0.2925 x2
Br  0.1858  0.8146  0.6602 x2
Br  0.2350  0.3198  0.5172 x2
Br  0.2415  0.4986  0.0207 x2
Br  0.3950  0.9043  0.2670 x2

Summary:
Mass density   4.72 g/cm3
Crystal system   triclinic
E_form (uncorrected)   -0.96 eV/atom

***

Cs4AgHg3Br12 | PBE | relaxed

a b c (Å): 11.2601 11.2601 11.2601
angles (deg): 90.00 90.00 90.00
Space group Im-3m (No. 229)
Unique sites:
Cs  0.2500  0.2500  0.2500 x8
Ag  0.0000  0.0000  0.0000 x2
Hg  0.0000  0.0000  0.5000 x6
Br  0.0000  0.0000  0.2495 x12
Br  0.0000  0.2500  0.5000 x12

Summary:
Mass density   5.12 g/cm3
Crystal system   cubic
E_form (uncorrected)   -0.95 eV/atom

***

CsAgHgBr2 | PBE | relaxed

a b c (Å): 5.7184 5.7184 5.5634
angles (deg): 90.00 90.00 90.00
Space group P4/mmm (No. 123)
Unique sites:
Cs  0.0000  0.0000  0.0000 x1
Ag  0.5000  0.5000  0.5000 x1
Hg  0.5000  0.5000  0.0000 x1
Br  0.0000  0.5000  0.5000 x2

Summary:
Mass density   5.49 g/cm3
Crystal system   tetragonal
E_form (uncorrected)   -0.80 eV/atom

***

Cs4Ag3HgBr12 | PBE | relaxed

a b c (Å): 11.0600 11.0600 11.0600
angles (deg): 90.00 90.00 90.00
Space group Im-3m (No. 229)
Unique sites:
Cs  0.2500  0.2500  0.2500 x8
Ag  0.0000  0.0000  0.5000 x6
Hg  0.0000  0.0000  0.0000 x2
Br  0.0000  0.0000  0.2533 x12
Br  0.0000  0.2500  0.5000 x12

Summary:
Mass density   4.95 g/cm3
Crystal system   cubic
E_form (uncorrected)   -0.92 eV/atom

***

Cs3AgHg2Br8 | PBE | relaxed

a b c (Å): 7.9882 7.9882 10.3354
angles (deg): 90.00 90.00 120.00
Space group P-3m1 (No. 164)
Unique sites:
Cs  0.0000  0.0000  0.0000 x1
Cs  0.3333  0.6667  0.6121 x2
Ag  0.0000  0.0000  0.5000 x1
Hg  0.3333  0.6667  0.2025 x2
Br  0.1591  0.3181  0.3232 x6
Br  0.3333  0.6667  0.9538 x2

Summary:
Mass density   4.50 g/cm3
Crystal system   trigonal
E_form (uncorrected)   -1.02 eV/atom

***

CsAgHgBr4 | PBE | relaxed

a b c (Å): 7.0178 7.9188 9.7478
angles (deg): 90.00 103.07 90.00
Space group P2_1/m (No. 11)
Unique sites:
Cs  0.2366  0.2500  0.0555 x2
Ag  0.1129  0.2500  0.5021 x2
Hg  0.2428  0.7500  0.3310 x2
Br  0.0452  0.0025  0.7039 x4
Br  0.3123  0.7500  0.0740 x2
Br  0.4784  0.2500  0.4440 x2

Summary:
Mass density   4.79 g/cm3
Crystal system   monoclinic
E_form (uncorrected)   -0.80 eV/atom

***

CsAgHg2Br6 | PBE | relaxed

a b c (Å): 15.6073 13.8337 7.9794
angles (deg): 90.00 114.11 90.00
Space group C2/c (No. 15)
Unique sites:
Cs  0.0000  0.1919  0.2500 x4
Ag  0.0000  0.3409  0.7500 x4
Hg  0.2340  0.1021  0.9039 x8
Br  0.1011  0.4160  0.0957 x8
Br  0.1280  0.0246  0.0438 x8
Br  0.1556  0.2683  0.7180 x8

Summary:
Mass density   4.74 g/cm3
Crystal system   monoclinic
E_form (uncorrected)   -0.71 eV/atom

***

CsAg2HgBr4 | PBE | relaxed

a b c (Å): 9.4627 9.4662 14.3173
angles (deg): 90.00 90.00 90.00
Space group Fmm2 (No. 42)
Unique sites:
Cs  0.0000  0.0000  0.0000 x4
Ag  0.2500  0.2500  0.2503 x8
Hg  0.0000  0.0000  0.5004 x4
Br  0.0000  0.2139  0.3434 x8
Br  0.2143  0.0000  0.6572 x8

Summary:
Mass density   4.50 g/cm3
Crystal system   orthorhombic
E_form (uncorrected)   -0.61 eV/atom